# NaGaHg3 | Alexandria | PBE | relaxed
data_NaGaHg3
_cell_length_a 5.3305
_cell_length_b 5.3305
_cell_length_c 5.3305
_cell_angle_alpha 90.00
_cell_angle_beta 90.00
_cell_angle_gamma 90.00
_symmetry_space_group_name_H-M 'P m -3 m'
_symmetry_Int_Tables_number 221
_symmetry_space_group_name_Hall '-P 4 2 3'
loop_
_atom_site_label
_atom_site_type_symbol
_atom_site_fract_x
_atom_site_fract_y
_atom_site_fract_z
_atom_site_occupancy
Na1 Na 0.0000 0.0000 0.0000 1
Ga1 Ga 0.5000 0.5000 0.5000 1
Hg1 Hg 0.0000 0.5000 0.5000 1
# DOS(E_F) ... 2.31 states/eV/f.u.
# E_form ... -0.003 eV per atom
# Polymorph energy (0 for the lowest one) ... 0.106 eV/atom

# Na2GaHg | Alexandria | PBE | relaxed
data_Na2GaHg
_cell_length_a 3.6668
_cell_length_b 3.6668
_cell_length_c 7.3055
_cell_angle_alpha 90.00
_cell_angle_beta 90.00
_cell_angle_gamma 90.00
_symmetry_space_group_name_H-M 'P 4/m m m'
_symmetry_Int_Tables_number 123
_symmetry_space_group_name_Hall '-P 4 2'
loop_
_atom_site_label
_atom_site_type_symbol
_atom_site_fract_x
_atom_site_fract_y
_atom_site_fract_z
_atom_site_occupancy
Na1 Na 0.0000 0.0000 0.2434 1
Ga1 Ga 0.5000 0.5000 0.0000 1
Hg1 Hg 0.5000 0.5000 0.5000 1
# DOS(E_F) ... 2.00 states/eV/f.u.
# E_form ... -0.074 eV per atom
# Polymorph energy (0 for the lowest one) ... 0.069 eV/atom

# Na2GaHg3 | Alexandria | PBE | relaxed
data_Na2GaHg3
_cell_length_a 6.6024
_cell_length_b 10.0316
_cell_length_c 17.4673
_cell_angle_alpha 90.00
_cell_angle_beta 90.00
_cell_angle_gamma 90.00
_symmetry_space_group_name_H-M 'F m m m'
_symmetry_Int_Tables_number 69
_symmetry_space_group_name_Hall '-F 2 2'
loop_
_atom_site_label
_atom_site_type_symbol
_atom_site_fract_x
_atom_site_fract_y
_atom_site_fract_z
_atom_site_occupancy
Na1 Na 0.2424 0.0000 0.0000 1
Na2 Na 0.2500 0.2500 0.2500 1
Ga1 Ga 0.0000 0.0000 0.3329 1
Hg1 Hg 0.0000 0.0000 0.1717 1
Hg2 Hg 0.0000 0.2403 0.4141 1
# DOS(E_F) ... 1.30 states/eV/f.u.
# E_form ... -0.201 eV per atom
# Polymorph energy (0 for the lowest one) ... 0.000 eV/atom

# NaGaHg | Alexandria | PBE | relaxed
data_NaGaHg
_cell_length_a 4.8331
_cell_length_b 4.8331
_cell_length_c 3.4184
_cell_angle_alpha 90.00
_cell_angle_beta 90.00
_cell_angle_gamma 120.00
_symmetry_space_group_name_H-M 'P -6 m 2'
_symmetry_Int_Tables_number 187
_symmetry_space_group_name_Hall 'P -6 2'
loop_
_atom_site_label
_atom_site_type_symbol
_atom_site_fract_x
_atom_site_fract_y
_atom_site_fract_z
_atom_site_occupancy
Na1 Na 0.0000 0.0000 0.0000 1
Ga1 Ga 0.3333 0.6667 0.5000 1
Hg1 Hg 0.6667 0.3333 0.5000 1
# DOS(E_F) ... 0.75 states/eV/f.u.
# E_form ... -0.162 eV per atom
# Polymorph energy (0 for the lowest one) ... 0.000 eV/atom

# NaGa3Hg3 | Alexandria | PBE | relaxed
data_NaGa3Hg3
_cell_length_a 7.6154
_cell_length_b 7.6154
_cell_length_c 7.6154
_cell_angle_alpha 90.00
_cell_angle_beta 90.00
_cell_angle_gamma 90.00
_symmetry_space_group_name_H-M 'P m -3 n'
_symmetry_Int_Tables_number 223
_symmetry_space_group_name_Hall '-P 4n 2 3'
loop_
_atom_site_label
_atom_site_type_symbol
_atom_site_fract_x
_atom_site_fract_y
_atom_site_fract_z
_atom_site_occupancy
Na1 Na 0.0000 0.0000 0.0000 1
Ga1 Ga 0.0000 0.2500 0.5000 1
Hg1 Hg 0.0000 0.5000 0.2500 1
# DOS(E_F) ... 4.47 states/eV/f.u.
# E_form ... 0.153 eV per atom

# Na2GaHg | Alexandria | PBE | relaxed
data_Na2GaHg
_cell_length_a 9.2474
_cell_length_b 7.7802
_cell_length_c 5.6487
_cell_angle_alpha 90.00
_cell_angle_beta 90.00
_cell_angle_gamma 90.00
_symmetry_space_group_name_H-M 'C m c m'
_symmetry_Int_Tables_number 63
_symmetry_space_group_name_Hall '-C 2c 2'
loop_
_atom_site_label
_atom_site_type_symbol
_atom_site_fract_x
_atom_site_fract_y
_atom_site_fract_z
_atom_site_occupancy
Na1 Na 0.1844 0.1590 0.2500 1
Ga1 Ga 0.0000 0.5000 0.0000 1
Hg1 Hg 0.0000 0.1722 0.7500 1
# DOS(E_F) ... 2.48 states/eV/f.u.
# E_form ... -0.129 eV per atom
# Polymorph energy (0 for the lowest one) ... 0.014 eV/atom

# NaGaNiHg2 | Alexandria | PBE | relaxed
data_NaGaNiHg2
_cell_length_a 5.0992
_cell_length_b 5.0992
_cell_length_c 4.5595
_cell_angle_alpha 90.00
_cell_angle_beta 90.00
_cell_angle_gamma 90.00
_symmetry_space_group_name_H-M 'P 4/m m m'
_symmetry_Int_Tables_number 123
_symmetry_space_group_name_Hall '-P 4 2'
loop_
_atom_site_label
_atom_site_type_symbol
_atom_site_fract_x
_atom_site_fract_y
_atom_site_fract_z
_atom_site_occupancy
Na1 Na 0.0000 0.0000 0.0000 1
Ga1 Ga 0.5000 0.5000 0.0000 1
Ni1 Ni 0.5000 0.5000 0.5000 1
Hg1 Hg 0.0000 0.5000 0.5000 1
# DOS(E_F) ... 1.82 states/eV/f.u.
# E_form ... -0.089 eV per atom

# NaGaHgP2 | Alexandria | PBE | relaxed
data_NaGaHgP2
_cell_length_a 5.0661
_cell_length_b 5.0661
_cell_length_c 5.3356
_cell_angle_alpha 90.00
_cell_angle_beta 90.00
_cell_angle_gamma 90.00
_symmetry_space_group_name_H-M 'P 4/m m m'
_symmetry_Int_Tables_number 123
_symmetry_space_group_name_Hall '-P 4 2'
loop_
_atom_site_label
_atom_site_type_symbol
_atom_site_fract_x
_atom_site_fract_y
_atom_site_fract_z
_atom_site_occupancy
Na1 Na 0.0000 0.0000 0.0000 1
Ga1 Ga 0.5000 0.5000 0.0000 1
Hg1 Hg 0.0000 0.0000 0.5000 1
P1 P 0.0000 0.5000 0.5000 1
# DOS(E_F) ... 2.41 states/eV/f.u.
# E_form ... 0.678 eV per atom

# NaGaHgPb | Alexandria | PBE | relaxed
data_NaGaHgPb
_cell_length_a 7.3268
_cell_length_b 7.3268
_cell_length_c 7.3268
_cell_angle_alpha 90.00
_cell_angle_beta 90.00
_cell_angle_gamma 90.00
_symmetry_space_group_name_H-M 'F -4 3 m'
_symmetry_Int_Tables_number 216
_symmetry_space_group_name_Hall 'F -4 2 3'
loop_
_atom_site_label
_atom_site_type_symbol
_atom_site_fract_x
_atom_site_fract_y
_atom_site_fract_z
_atom_site_occupancy
Na1 Na 0.0000 0.0000 0.0000 1
Ga1 Ga 0.0000 0.0000 0.5000 1
Hg1 Hg 0.2500 0.2500 0.2500 1
Pb1 Pb 0.2500 0.2500 0.7500 1
# DOS(E_F) ... 1.51 states/eV/f.u.
# E_form ... -0.056 eV per atom

# Na2Ga2HgPd5 | Alexandria | PBE | relaxed
data_Na2Ga2HgPd5
_cell_length_a 9.7390
_cell_length_b 9.7390
_cell_length_c 3.7407
_cell_angle_alpha 90.00
_cell_angle_beta 90.00
_cell_angle_gamma 90.00
_symmetry_space_group_name_H-M 'P 4/m b m'
_symmetry_Int_Tables_number 127
_symmetry_space_group_name_Hall '-P 4 2ab'
loop_
_atom_site_label
_atom_site_type_symbol
_atom_site_fract_x
_atom_site_fract_y
_atom_site_fract_z
_atom_site_occupancy
Na1 Na 0.1735 0.3265 0.0000 1
Ga1 Ga 0.1259 0.6259 0.0000 1
Hg1 Hg 0.0000 0.0000 0.0000 1
Pd1 Pd 0.0000 0.5000 0.5000 1
Pd2 Pd 0.0698 0.7917 0.5000 1
# DOS(E_F) ... 3.86 states/eV/f.u.
# E_form ... -0.402 eV per atom

# NaGa2HgPd | Alexandria | PBE | relaxed
data_NaGa2HgPd
_cell_length_a 4.8073
_cell_length_b 4.8073
_cell_length_c 5.5385
_cell_angle_alpha 90.00
_cell_angle_beta 90.00
_cell_angle_gamma 90.00
_symmetry_space_group_name_H-M 'P 4/m m m'
_symmetry_Int_Tables_number 123
_symmetry_space_group_name_Hall '-P 4 2'
loop_
_atom_site_label
_atom_site_type_symbol
_atom_site_fract_x
_atom_site_fract_y
_atom_site_fract_z
_atom_site_occupancy
Na1 Na 0.0000 0.0000 0.0000 1
Ga1 Ga 0.0000 0.5000 0.5000 1
Hg1 Hg 0.5000 0.5000 0.0000 1
Pd1 Pd 0.0000 0.0000 0.5000 1
# DOS(E_F) ... 2.18 states/eV/f.u.
# E_form ... -0.162 eV per atom
# Polymorph energy (0 for the lowest one) ... 0.000 eV/atom

# NaGaHg2Pd | Alexandria | PBE | relaxed
data_NaGaHg2Pd
_cell_length_a 5.3384
_cell_length_b 5.3384
_cell_length_c 4.7776
_cell_angle_alpha 90.00
_cell_angle_beta 90.00
_cell_angle_gamma 90.00
_symmetry_space_group_name_H-M 'P 4/m m m'
_symmetry_Int_Tables_number 123
_symmetry_space_group_name_Hall '-P 4 2'
loop_
_atom_site_label
_atom_site_type_symbol
_atom_site_fract_x
_atom_site_fract_y
_atom_site_fract_z
_atom_site_occupancy
Na1 Na 0.0000 0.0000 0.0000 1
Ga1 Ga 0.5000 0.5000 0.0000 1
Hg1 Hg 0.0000 0.5000 0.5000 1
Pd1 Pd 0.5000 0.5000 0.5000 1
# DOS(E_F) ... 1.98 states/eV/f.u.
# E_form ... -0.140 eV per atom